# 1
A crystal of K3ZnNi relaxed with PBEsol, computed with meta-GGA SCAN.

Results
Uncorrected energy, eV/cell: -51.277
Energy of formation, eV per atom: 0.680
Magnetic moment, μB per formula unit: 0.66
Volume, Å³/cell: 210.65

a = 5.9501 Å, b = 5.9501 Å, c = 5.9501 Å
α = 90.00°, β = 90.00°, γ = 90.00°
Site moments in Bohr magnetons follow the coordinates.
Sites, in units of the cell vectors:
Ni 0.0000 0.0000 0.0000  0.27
Zn 0.5000 0.5000 0.5000  -0.05
K 0.0000 0.5000 0.0000  -0.02
K 0.0000 0.0000 0.5000  -0.02
K 0.5000 0.0000 0.0000  -0.02

---

# 2
A crystal of TcP2AuS relaxed with PBEsol, computed with meta-GGA SCAN.

Results
Uncorrected energy, eV/cell: -131.296
Magnetic moment, μB per formula unit: 0.00
E_form (uncorrected), eV per atom: 0.669
Volume, Å³/cell: 93.87

a = 4.4021 Å, b = 4.6179 Å, c = 4.6179 Å
α = 90.00°, β = 90.00°, γ = 90.00°
Sites, in units of the cell vectors:
P 0.0000 0.0000 0.5000
P 0.0000 0.5000 0.0000
S 0.5000 0.0000 0.0000
Au 0.5000 0.5000 0.5000
Tc 0.0000 0.0000 0.0000

---

# 3
A crystal of Cs2RbAs2 relaxed with PBEsol, computed with meta-GGA SCAN.

Results
Uncorrected energy, eV/cell: -277.770
Energy of formation, eV per atom: -0.429
Magnetic moment, μB per formula unit: 1.04
Volume, Å³/cell: 407.49

a = 5.5631 Å, b = 8.5585 Å, c = 8.5585 Å
α = 90.00°, β = 90.00°, γ = 90.00°
Site moments in Bohr magnetons follow the coordinates.
Sites, in units of the cell vectors:
Cs 0.5000 0.1670 0.6670  0.01
Cs 0.5000 0.6670 0.8330  0.01
Cs 0.5000 0.8330 0.3330  0.01
Cs 0.5000 0.3330 0.1670  0.01
As 0.0000 0.4006 0.9006  0.19
As 0.0000 0.9006 0.5994  0.19
As 0.0000 0.5994 0.0994  0.19
As 0.0000 0.0994 0.4006  0.19
Rb 0.0000 0.0000 0.0000  0.03
Rb 0.0000 0.5000 0.5000  0.03

---

# 4
A crystal of SiB2Ir2 relaxed with PBEsol, computed with meta-GGA SCAN.

Results
Uncorrected energy, eV/cell: -167.521
Magnetic moment, μB per formula unit: 0.00
E_form (uncorrected), eV per atom: -0.090
Volume, Å³/cell: 56.66

a = 3.8983 Å, b = 3.8983 Å, c = 4.6370 Å
α = 114.86°, β = 114.86°, γ = 90.00°
Sites, in units of the cell vectors:
Si 0.0000 0.0000 0.0000
Ir 0.2500 0.7500 0.5000
Ir 0.7500 0.2500 0.5000
B 0.3882 0.3882 0.7764
B 0.6118 0.6118 0.2236

---

N(E_F) values (in states/eV/f.u.) by entry order: 7.0 3.4 3.5 1.3.